Here is an optimized crystal structure of NaRhI2 from the Alexandria database. Energies are from PBE-GGA.

## Properties
Final energy ... -11.7 eV/f.u.
E above lowest polymorph ... 286 meV/atom

```
4
Lattice="0.000 3.743 3.743 3.743 0.000 3.743 3.743 3.743 0.000" Properties=species:S:1:pos:R:3 pbc="T T T"
Rh 3.743 3.743 3.743
I 5.614 5.614 5.614
I 1.871 1.871 1.871
Na 0.000 0.000 0.000
```